Record 1
SmZnTeO6 | PBE | optimized geometry

Lattice parameters (Å, degrees): 5.2606 5.2606 10.0814 90.00 90.00 120.00
Atoms (fractional coordinates):
Sm 0.0000 0.0000 0.0000
Sm 0.0000 0.0000 0.5000
Zn 0.3333 0.6667 0.2500
Zn 0.6667 0.3333 0.7500
Te 0.3333 0.6667 0.7500
Te 0.6667 0.3333 0.2500
O 0.0199 0.3730 0.6400
O 0.0199 0.6468 0.8600
O 0.3532 0.3730 0.8600
O 0.3532 0.9801 0.6400
O 0.3730 0.0199 0.1400
O 0.3730 0.3532 0.3600
O 0.6270 0.6468 0.6400
O 0.6270 0.9801 0.8600
O 0.6468 0.0199 0.3600
O 0.6468 0.6270 0.1400
O 0.9801 0.3532 0.1400
O 0.9801 0.6270 0.3600

Summary:
E ... -6.013 eV/atom
Uncorrected formation energy ... -1.6924 eV per atom


Record 2
SmTh4O10 | PBE | optimized geometry

Lattice parameters (Å, degrees): 16.3448 16.3448 16.3448 13.95 13.95 13.95
Atoms (fractional coordinates):
Sm 0.0000 0.0000 0.0000
Th 0.2002 0.2002 0.2002
Th 0.3993 0.3993 0.3993
Th 0.6007 0.6007 0.6007
Th 0.7998 0.7998 0.7998
O 0.0505 0.0505 0.0505
O 0.1500 0.1500 0.1500
O 0.2501 0.2501 0.2501
O 0.3504 0.3504 0.3504
O 0.4499 0.4499 0.4499
O 0.5501 0.5501 0.5501
O 0.6496 0.6496 0.6496
O 0.7499 0.7499 0.7499
O 0.8500 0.8500 0.8500
O 0.9495 0.9495 0.9495

Summary:
E ... -9.242 eV/atom
Energy relative to the lowest polymorph listed for this composition ... 0.006 eV/atom
Uncorrected formation energy ... -3.6435 eV per atom


Record 3
Sm2Th3O9 | PBE | optimized geometry

Lattice parameters (Å, degrees): 14.2500 14.2500 14.2500 164.01 164.01 22.68
Atoms (fractional coordinates):
Sm 0.1948 0.1948 0.0000
Sm 0.8052 0.8052 0.0000
Th 0.0000 0.0000 0.0000
Th 0.3991 0.3991 0.0000
Th 0.6009 0.6009 0.0000
O 0.0540 0.5540 0.5000
O 0.1575 0.6575 0.5000
O 0.3425 0.8425 0.5000
O 0.4460 0.9460 0.5000
O 0.5470 0.0470 0.5000
O 0.6460 0.1460 0.5000
O 0.7500 0.2500 0.5000
O 0.8540 0.3540 0.5000
O 0.9530 0.4530 0.5000

Summary:
E ... -9.130 eV/atom
Uncorrected formation energy ... -3.6789 eV per atom


Record 4
SmTh4O10 | PBE | optimized geometry

Lattice parameters (Å, degrees): 6.8699 6.8699 6.8699 99.58 99.58 131.84
Atoms (fractional coordinates):
Sm 0.0000 0.0000 0.0000
Th 0.2013 0.3991 0.6004
Th 0.3991 0.7987 0.1978
Th 0.6009 0.2013 0.8022
Th 0.7987 0.6009 0.3996
O 0.0503 0.3526 0.8984
O 0.1520 0.0503 0.6977
O 0.2500 0.7500 0.5000
O 0.3526 0.4543 0.3023
O 0.4543 0.1520 0.1016
O 0.5457 0.8480 0.8984
O 0.6474 0.5457 0.6977
O 0.7500 0.2500 0.5000
O 0.8480 0.9497 0.3023
O 0.9497 0.6474 0.1016

Summary:
E ... -9.249 eV/atom
Energy relative to the lowest polymorph listed for this composition ... 0.000 eV/atom
Uncorrected formation energy ... -3.6498 eV per atom